[1]
## Pm2GaHg3 (GGA-PBE)

Data for Pm2GaHg3 after structural relaxation.

Results
E above lowest polymorph, meV per atom: 3
E_form, meV per atom: -463.3
Space-group type: Fmmm, No. 69

POSCAR file:
```
Pm2GaHg3
1.0
0.933 0.519 -5.970
4.615 -3.718 -1.287
-8.217 -4.675 2.233
Pm Ga Hg
4 2 6
Direct
0.750 0.250 0.500
0.756 0.244 0.000
0.250 0.750 0.500
0.244 0.756 0.000
0.666 0.666 0.333
0.334 0.334 0.667
0.828 0.828 0.171
0.657 0.657 0.829
0.172 0.172 0.829
0.343 0.343 0.171
0.171 0.171 0.342
0.829 0.829 0.658
```

=====

[2]
## La2PmRh (GGA-PBE)

Data for La2PmRh after structural relaxation.

Results
E above lowest polymorph, meV per atom: 116
E_form, meV per atom: -328.6
Space-group type: R3m, No. 160

POSCAR file:
```
La2PmRh
1.0
-0.727 -0.229 -3.933
0.063 -3.556 -1.845
-9.460 -2.343 -0.155
La Pm Rh
2 1 1
Direct
0.059 0.059 0.822
0.274 0.274 0.178
0.500 0.500 0.500
0.666 0.666 0.001
```

=====

[3]
## AgSn2Te4Au (GGA-PBE)

Data for AgSn2Te4Au after structural relaxation.

Results
Raw formation energy, eV/atom: -0.15
Space-group type: P2/m, No. 10

POSCAR file:
```
AgSn2Te4Au
1.0
-1.828 -3.703 1.248
3.962 0.123 6.170
-3.788 3.660 5.313
Ag Sn Te Au
1 2 4 1
Direct
0.500 0.500 0.000
0.000 0.000 0.000
0.500 0.000 0.500
0.000 0.733 0.752
0.000 0.267 0.248
0.500 0.733 0.256
0.500 0.267 0.744
0.000 0.500 0.500
```

=====

[4]
## Er5Sc2In5 (GGA-PBE)

Data for Er5Sc2In5 after structural relaxation.

Results
E_form, meV per atom: -296.7
Space-group type: C2/m, No. 12

POSCAR file:
```
Er5Sc2In5
1.0
-2.888 3.224 2.527
-0.310 -5.906 2.212
9.547 5.208 4.266
Er Sc In
5 2 5
Direct
0.500 0.000 0.500
0.654 0.308 0.000
0.630 0.260 0.272
0.370 0.740 0.728
0.346 0.692 0.000
0.076 0.152 0.759
0.924 0.848 0.241
0.164 0.327 0.460
0.726 0.452 0.771
0.274 0.548 0.229
0.836 0.673 0.540
0.000 0.000 0.000
```

=====

[5]
## BaMg2TlRh (GGA-PBE)

Data for BaMg2TlRh after structural relaxation.

Results
E_form, meV per atom: -293.9
Space-group type: P4/mmm, No. 123

POSCAR file:
```
BaMg2TlRh
1.0
-3.051 2.873 2.932
-0.449 -3.865 3.320
4.262 1.800 2.671
Mg Tl Rh Ba
2 1 1 1
Direct
0.000 0.500 0.000
0.500 0.000 0.000
0.000 0.000 0.500
0.000 0.000 0.000
0.500 0.500 0.500
```

=====

[6]
## Pm4NdDy2Tm2 (GGA-PBE)

Data for Pm4NdDy2Tm2 after structural relaxation.

Results
E_form, meV per atom: 18.5
Space-group type: C2/m, No. 12

POSCAR file:
```
Pm4NdDy2Tm2
1.0
3.597 0.000 0.000
-1.798 9.174 1.588
0.000 -1.506 8.683
Pm Nd Dy Tm
4 1 2 2
Direct
0.778 0.555 0.669
0.222 0.445 0.331
0.556 0.111 0.334
0.444 0.889 0.666
0.000 0.000 0.000
0.888 0.776 0.330
0.112 0.224 0.670
0.332 0.664 0.001
0.668 0.336 0.999
```

=====

[7]
## Ce2TcC3 (GGA-PBE)

Data for Ce2TcC3 after structural relaxation.

Results
E_form, meV per atom: 5.1
Space-group type: Cmcm, No. 63

POSCAR file:
```
Ce2TcC3
1.0
5.268 -0.294 -0.210
0.327 5.896 -0.054
0.327 1.875 5.590
Ce Tc C
4 2 6
Direct
0.750 0.174 0.511
0.250 0.511 0.174
0.750 0.489 0.826
0.250 0.826 0.489
0.750 0.909 0.091
0.250 0.091 0.909
0.250 0.361 0.639
0.750 0.639 0.361
0.000 0.838 0.838
0.500 0.162 0.162
0.500 0.838 0.838
0.000 0.162 0.162
```

=====

[8]
## Tm5Sc4Ga4 (GGA-PBE)

Data for Tm5Sc4Ga4 after structural relaxation.

Results
E_form, meV per atom: -419.2
Space-group type: I4/m, No. 87

POSCAR file:
```
Tm5Sc4Ga4
1.0
4.459 0.000 1.134
2.230 8.173 0.567
0.216 0.000 8.488
Tm Sc Ga
5 4 4
Direct
0.692 0.921 0.695
0.308 0.079 0.305
0.000 0.000 0.000
0.613 0.695 0.079
0.387 0.305 0.921
0.899 0.508 0.694
0.593 0.306 0.508
0.101 0.492 0.306
0.407 0.694 0.492
0.756 0.329 0.159
0.244 0.671 0.841
0.915 0.841 0.329
0.085 0.159 0.671
```

=====

[9]
## Nb2BPAu (GGA-PBE)

Data for Nb2BPAu after structural relaxation.

Results
E_form, meV per atom: 1084.5
Space-group type: P4/mmm, No. 123

POSCAR file:
```
Nb2BPAu
1.0
4.640 0.000 0.000
0.000 4.640 0.000
0.000 0.000 4.444
P Nb B Au
1 2 1 1
Direct
0.000 0.000 0.000
0.000 0.500 0.000
0.500 0.000 0.000
0.500 0.500 0.500
0.000 0.000 0.500
```

=====

[10]
## Pm2HoPa (GGA-PBE)

Data for Pm2HoPa after structural relaxation.

Results
E above lowest polymorph, meV per atom: 139
E_form, meV per atom: 301.5
Space-group type: R-3m, No. 166

POSCAR file:
```
Pm2HoPa
1.0
3.368 0.000 0.000
1.684 2.917 0.000
1.684 0.972 12.389
Pa Ho Pm
1 1 2
Direct
0.000 0.000 0.000
0.500 0.500 0.500
0.087 0.087 0.740
0.913 0.913 0.260
```

=====

[11]
## SrLaPb4 (GGA-PBE)

Data for SrLaPb4 after structural relaxation.

Results
E above lowest polymorph, meV per atom: 0
E_form, meV per atom: -428.5
Space-group type: Cmcm, No. 63

POSCAR file:
```
SrLaPb4
1.0
4.764 0.000 -0.977
0.000 6.943 0.000
0.031 0.000 12.256
Sr La Pb
2 2 8
Direct
0.725 0.250 0.450
0.275 0.750 0.550
0.431 0.250 0.861
0.569 0.750 0.139
0.000 0.000 0.000
0.000 0.500 0.000
0.148 0.992 0.296
0.852 0.492 0.704
0.148 0.508 0.296
0.852 0.008 0.704
0.579 0.250 0.158
0.421 0.750 0.842
```

=====

[12]
## NdDyAl (GGA-PBE)

Data for NdDyAl after structural relaxation.

Results
E above lowest polymorph, meV per atom: 211
E_form, meV per atom: -14.2
Space-group type: R3m, No. 160

POSCAR file:
```
NdDyAl
1.0
-6.271 2.643 4.543
7.102 -3.842 -1.322
1.417 3.019 -1.182
Nd Dy Al
1 1 1
Direct
0.918 0.235 0.152
0.331 0.029 0.360
0.466 0.461 0.926
```